This record from Alexandria via LeMat-Bulk describes Pm6IrRh2I3 after structural relaxation. The functional is PBE.

Cell: 7.2185 7.2185 8.4428 Å, 98.19 98.19 120.01°
Last column: nearest neighbours and their distance in Å.
Element x y z (fractional)
I 0.5000 0.5000 0.5000  6 Pm 3.51
I 0.8334 0.1666 0.5000  6 Pm 3.51-3.52
I 0.1666 0.8334 0.5000  6 Pm 3.51-3.52
Pm 0.0614 0.3939 0.1842  1 Ir 2.83, 2 Rh 2.83
Pm 0.3939 0.0614 0.1842  1 Ir 2.83, 2 Rh 2.83
Pm 0.9386 0.6061 0.8158  1 Ir 2.83, 2 Rh 2.83
Pm 0.2710 0.2710 0.8157  1 Ir 2.82, 2 Rh 2.83
Pm 0.7290 0.7290 0.1843  1 Ir 2.82, 2 Rh 2.83
Pm 0.6061 0.9386 0.8158  1 Ir 2.83, 2 Rh 2.83
Ir 0.0000 0.0000 0.0000  6 Pm 2.82-2.83
Rh 0.6667 0.3333 0.0000  6 Pm 2.83
Rh 0.3333 0.6667 0.0000  6 Pm 2.83

V ... 30.43 A^3/atom
Raw formation energy ... -957.3 meV per atom
Space-group type ... C2/m, No. 12
Density of states at the Fermi level ... 0.23 states/eV/atom


This record from Alexandria via LeMat-Bulk describes Pm8IrRh3I4 after structural relaxation. The functional is PBE.

Cell: 8.3322 9.4175 8.3326 Å, 116.30 120.00 90.00°
Last column: nearest neighbours and their distance in Å.
Element x y z (fractional)
Pm 0.7724 0.3158 0.0432  1 Ir 2.82, 2 Rh 2.83
Pm 0.7725 0.3158 0.5451  1 Ir 2.82, 2 Rh 2.83
Pm 0.2708 0.3158 0.0432  1 Ir 2.82, 2 Rh 2.83
Pm 0.7281 0.6841 0.4562  3 Rh 2.83
Pm 0.2719 0.3159 0.5438  3 Rh 2.83
Pm 0.7292 0.6842 0.9568  1 Ir 2.82, 2 Rh 2.83
Pm 0.2275 0.6842 0.4549  1 Ir 2.82, 2 Rh 2.83
Pm 0.2276 0.6842 0.9568  1 Ir 2.82, 2 Rh 2.83
I 0.5000 0.0000 0.0000  6 Pm 3.51-3.52
I 0.0000 0.0000 0.5000  6 Pm 3.50-3.51
I 0.0000 0.0000 0.0000  6 Pm 3.51
I 0.5000 0.0000 0.5000  6 Pm 3.50-3.51
Rh 0.0000 0.5000 0.5000  6 Pm 2.83
Rh 0.5000 0.5000 0.0000  6 Pm 2.83
Rh 0.5000 0.5000 0.5000  6 Pm 2.83
Ir 0.0000 0.5000 0.0000  6 Pm 2.82

V ... 30.41 A^3/atom
Raw formation energy ... -954.5 meV per atom
Space-group type ... R-3m, No. 166
Density of states at the Fermi level ... 0.22 states/eV/atom


This record from Alexandria via LeMat-Bulk describes Pm6Ir2RhI3 after structural relaxation. The functional is PBE.

Cell: 7.2453 7.2453 8.4304 Å, 98.23 98.23 120.02°
Last column: nearest neighbours and their distance in Å.
Element x y z (fractional)
Pm 0.2731 0.2731 0.8164  2 Ir 2.83, 1 Rh 2.84
Pm 0.6045 0.9388 0.8164  2 Ir 2.83, 1 Rh 2.84
Pm 0.0612 0.3955 0.1836  2 Ir 2.83, 1 Rh 2.84
Pm 0.7269 0.7269 0.1836  2 Ir 2.83, 1 Rh 2.84
Pm 0.3955 0.0612 0.1836  2 Ir 2.83, 1 Rh 2.84
Pm 0.9388 0.6045 0.8164  2 Ir 2.83, 1 Rh 2.84
I 0.8332 0.1668 0.5000  6 Pm 3.51-3.52
I 0.1668 0.8332 0.5000  6 Pm 3.51-3.52
I 0.5000 0.5000 0.5000  6 Pm 3.51-3.52
Rh 0.0000 0.0000 0.0000  6 Pm 2.84
Ir 0.6666 0.3334 0.0000  6 Pm 2.83
Ir 0.3334 0.6666 0.0000  6 Pm 2.83

V ... 30.60 A^3/atom
Raw formation energy ... -965.5 meV per atom
Space-group type ... C2/m, No. 12
Density of states at the Fermi level ... 0.22 states/eV/atom


This record from Alexandria via LeMat-Bulk describes Pm8IrRu3I4 after structural relaxation. The functional is PBE.

Cell: 8.2851 9.4147 8.2883 Å, 116.12 119.99 90.00°
Last column: nearest neighbours and their distance in Å.
Element x y z (fractional)
Pm 0.7697 0.3154 0.0456  2 Ru 2.81, 1 Ir 2.85
Pm 0.2303 0.6846 0.9544  2 Ru 2.81, 1 Ir 2.85
Pm 0.7286 0.6857 0.4573  3 Ru 2.83
Pm 0.7698 0.3155 0.5396  2 Ru 2.81, 1 Ir 2.85
Pm 0.2714 0.3143 0.5427  3 Ru 2.83
Pm 0.2759 0.3154 0.0456  2 Ru 2.81, 1 Ir 2.85
Pm 0.2302 0.6845 0.4604  2 Ru 2.81, 1 Ir 2.85
Pm 0.7241 0.6846 0.9544  2 Ru 2.81, 1 Ir 2.85
I 0.5000 0.0000 0.5000  6 Pm 3.50-3.51
I 0.0000 0.0000 0.0000  6 Pm 3.50-3.51
I 0.0000 0.0000 0.5000  6 Pm 3.50-3.51
I 0.5000 0.0000 0.0000  6 Pm 3.48
Ru 0.5000 0.5000 0.0000  6 Pm 2.81-2.83
Ru 0.0000 0.5000 0.5000  6 Pm 2.81-2.83
Ru 0.5000 0.5000 0.5000  6 Pm 2.81-2.83
Ir 0.0000 0.5000 0.0000  6 Pm 2.85

V ... 30.14 A^3/atom
Raw formation energy ... -706.9 meV per atom
Space-group type ... R-3m, No. 166
Density of states at the Fermi level ... 0.50 states/eV/atom


This record from Alexandria via LeMat-Bulk describes Pm6IrRu2I3 after structural relaxation. The functional is PBE.

Cell: 7.1817 7.1817 8.4538 Å, 98.15 98.15 119.99°
Last column: nearest neighbours and their distance in Å.
Element x y z (fractional)
I 0.8328 0.1672 0.5000  6 Pm 3.48-3.52
I 0.5000 0.5000 0.5000  6 Pm 3.48-3.51
I 0.1672 0.8328 0.5000  6 Pm 3.48-3.52
Ru 0.6668 0.3332 0.0000  6 Pm 2.81
Ru 0.3332 0.6668 0.0000  6 Pm 2.81
Ir 0.0000 0.0000 0.0000  6 Pm 2.85
Pm 0.6011 0.9383 0.8150  2 Ru 2.81, 1 Ir 2.85
Pm 0.9383 0.6011 0.8150  2 Ru 2.81, 1 Ir 2.85
Pm 0.0617 0.3989 0.1850  2 Ru 2.81, 1 Ir 2.85
Pm 0.3989 0.0617 0.1850  2 Ru 2.81, 1 Ir 2.85
Pm 0.7241 0.7241 0.1845  2 Ru 2.81, 1 Ir 2.85
Pm 0.2759 0.2759 0.8155  2 Ru 2.81, 1 Ir 2.85

V ... 30.18 A^3/atom
Raw formation energy ... -738.8 meV per atom
Space-group type ... C2/m, No. 12
Density of states at the Fermi level ... 0.52 states/eV/atom


This record from Alexandria via LeMat-Bulk describes Pm6Ir3S2I after structural relaxation. The functional is PBE.

Cell: 4.0756 8.7533 9.5832 Å, 107.90 102.28 90.00°
Last column: nearest neighbours and their distance in Å.
Element x y z (fractional)
Ir 0.1600 0.8211 0.3201  6 Pm 2.76-2.96
Ir 0.8400 0.1789 0.6799  6 Pm 2.76-2.96
Ir 0.5000 0.5000 0.0000  6 Pm 2.77-2.97
Pm 0.9965 0.7112 0.9931  3 Ir 2.77-2.91, 1 S 2.99
Pm 0.6849 0.0772 0.3698  3 Ir 2.76-2.96, 2 S 3.08
Pm 0.3151 0.9228 0.6302  3 Ir 2.76-2.96, 2 S 3.08
Pm 0.6667 0.5880 0.3334  3 Ir 2.91-2.97, 3 S 2.95-3.06
Pm 0.0035 0.2888 0.0069  3 Ir 2.77-2.91, 1 S 2.99
Pm 0.3333 0.4120 0.6666  3 Ir 2.91-2.97, 3 S 2.95-3.06
S 0.8320 0.6719 0.6640  6 Pm 2.95-3.08
S 0.1680 0.3281 0.3360  6 Pm 2.95-3.08
I 0.5000 0.0000 0.0000  6 Pm 3.23-3.31

V ... 26.42 A^3/atom
Raw formation energy ... -1111.7 meV per atom
Space-group type ... C2/m, No. 12
Density of states at the Fermi level ... 0.64 states/eV/atom


This record from Alexandria via LeMat-Bulk describes Pm8Ir3SI4 after structural relaxation. The functional is PBE.

Cell: 8.4555 9.3463 8.4556 Å, 116.92 120.00 90.00°
Last column: nearest neighbours and their distance in Å.
Element x y z (fractional)
Ir 0.5000 0.5000 0.5000  6 Pm 2.81-2.85
Ir 0.5000 0.5000 0.0000  6 Pm 2.81-2.85
Ir 0.0000 0.5000 0.5000  6 Pm 2.81-2.85
I 0.5000 0.0000 0.5000  6 Pm 3.51-3.54
I 0.0000 0.0000 0.5000  6 Pm 3.51-3.54
I 0.0000 0.0000 0.0000  6 Pm 3.51-3.54
I 0.5000 0.0000 0.0000  6 Pm 3.43
Pm 0.2856 0.3152 0.0503  2 Ir 2.81, 1 S 2.94
Pm 0.2720 0.3162 0.5439  3 Ir 2.85
Pm 0.2353 0.6848 0.9497  2 Ir 2.81, 1 S 2.94
Pm 0.2353 0.6848 0.4706  2 Ir 2.81, 1 S 2.94
Pm 0.7647 0.3152 0.0503  2 Ir 2.81, 1 S 2.94
Pm 0.7144 0.6848 0.9497  2 Ir 2.81, 1 S 2.94
Pm 0.7280 0.6838 0.4561  3 Ir 2.85
Pm 0.7647 0.3152 0.5294  2 Ir 2.81, 1 S 2.94
S 0.0000 0.5000 0.0000  6 Pm 2.94

V ... 30.83 A^3/atom
Raw formation energy ... -1076.0 meV per atom
Space-group type ... R-3m, No. 166
Density of states at the Fermi level ... 0.54 states/eV/atom


This record from Alexandria via LeMat-Bulk describes Pm6Ir3Se2I after structural relaxation. The functional is PBE.

Cell: 4.1230 8.8510 9.7317 Å, 108.18 102.23 90.00°
Last column: nearest neighbours and their distance in Å.
Element x y z (fractional)
Pm 0.6836 0.0709 0.3672  3 Ir 2.78-2.93
Pm 0.0021 0.7129 0.0043  3 Ir 2.78-2.89, 1 Se 3.11
Pm 0.3367 0.4062 0.6733  3 Ir 2.91-2.95, 3 Se 3.09-3.15
Pm 0.6633 0.5938 0.3267  3 Ir 2.91-2.95, 3 Se 3.09-3.15
Pm 0.9979 0.2871 0.9957  3 Ir 2.78-2.89, 1 Se 3.11
Pm 0.3164 0.9291 0.6328  3 Ir 2.78-2.93
I 0.5000 0.0000 0.0000  6 Pm 3.28-3.35
Ir 0.8377 0.1751 0.6754  6 Pm 2.78-2.93
Ir 0.1623 0.8249 0.3246  6 Pm 2.78-2.93
Ir 0.5000 0.5000 0.0000  6 Pm 2.78-2.95
Se 0.1662 0.3262 0.3323  6 Pm 3.09-3.15
Se 0.8338 0.6738 0.6677  6 Pm 3.09-3.15

V ... 27.41 A^3/atom
Raw formation energy ... -1094.9 meV per atom
Space-group type ... C2/m, No. 12
Density of states at the Fermi level ... 0.67 states/eV/atom